[1]
## BI2N (PBE-GGA)

Data for a geometry-optimized BI2N structure.

Values from the calculation:
- offset from the most stable computed form (eV/atom) = 0.5445
- symmetry = Fm-3m, No. 225

a b c (Å): 4.8833 4.8833 4.8833
angles (deg): 60.00 60.00 60.00
Fractional positions:
I: 0.2500 0.2500 0.2500
B: 0.0000 0.0000 0.0000
N: 0.5000 0.5000 0.5000
I: 0.7500 0.7500 0.7500

***

[2]
## BeAlInO4 (PBE-GGA)

Data for a geometry-optimized BeAlInO4 structure.

Values from the calculation:
- electronic total energy (eV/atom) = -6.59
- symmetry = Cmcm, No. 63

a b c (Å): 5.1302 5.1302 6.0002
angles (deg): 90.00 90.00 111.43
Fractional positions:
Be: 0.1514 0.8486 0.2500
O: 0.7552 0.2448 0.5119
O: 0.7880 0.7717 0.2500
O: 0.2448 0.7552 0.4881
O: 0.2448 0.7552 0.0119
O: 0.7717 0.7880 0.7500
Be: 0.8486 0.1514 0.7500
In: 0.5000 0.5000 0.0000
Al: 0.1457 0.8543 0.7500
Al: 0.8543 0.1457 0.2500
In: 0.5000 0.5000 0.5000
O: 0.2120 0.2283 0.7500
O: 0.2283 0.2120 0.2500
O: 0.7552 0.2448 0.9881

***

[3]
## TaFe2CuH (PBE-GGA)

Data for a geometry-optimized TaFe2CuH structure.

Values from the calculation:
- offset from the most stable computed form (eV/atom) = 0.0360
- symmetry = P4/mmm, No. 123

a b c (Å): 3.7289 3.7289 3.8465
angles (deg): 90.00 90.00 90.00
Fractional positions:
Fe: 0.5000 0.0000 0.0000
Cu: 0.5000 0.5000 0.5000
Ta: 0.0000 0.0000 0.5000
H: 0.0000 0.0000 0.0000
Fe: 0.0000 0.5000 0.0000

***

[4]
## ScCr2Br (PBE-GGA)

Data for a geometry-optimized ScCr2Br structure.

Values from the calculation:
- offset from the most stable computed form (eV/atom) = 0.1427
- symmetry = R3m, No. 160

a b c (Å): 8.4082 8.4082 8.4082
angles (deg): 22.36 22.36 22.36
Fractional positions:
Sc: 0.5029 0.5029 0.5029
Cr: 0.2571 0.2571 0.2571
Cr: 0.9861 0.9861 0.9861
Br: 0.7539 0.7539 0.7539

***

[5]
## YHoRh (PBE-GGA)

Data for a geometry-optimized YHoRh structure.

Values from the calculation:
- offset from the most stable computed form (eV/atom) = 0.0729
- symmetry = P2_1/m, No. 11
- energy of formation (meV/atom) = -573

a b c (Å): 4.5949 5.5389 6.3909
angles (deg): 106.27 90.00 90.00
Fractional positions:
Ho: 0.2522 0.0323 0.1936
Y: 0.7522 0.5827 0.2917
Y: 0.2522 0.4250 0.7116
Rh: 0.2523 0.8546 0.5662
Rh: 0.7523 0.1531 0.4370
Ho: 0.7522 0.9755 0.8097

***

[6]
## LiGdErSi (PBE-GGA)

Data for a geometry-optimized LiGdErSi structure.

Values from the calculation:
- electronic total energy (eV/atom) = -6.85
- symmetry = F-43m, No. 216

a b c (Å): 4.9681 4.9681 4.9681
angles (deg): 60.00 60.00 60.00
Fractional positions:
Gd: 0.5000 0.5000 0.5000
Si: 0.7500 0.7500 0.7500
Er: 0.0000 0.0000 0.0000
Li: 0.2500 0.2500 0.2500